1.
Below is a relaxed structure of Li5In4, with properties calculated at the GGA-PBEsol level.

## Properties
- Total energy: -2.75 eV/atom
- ΔH_f (0 K): -329.5 meV/atom

Cell lengths 4.712, 4.712, 8.773 Å; angles 90.00, 90.00, 120.00 degrees
Sites, in units of the cell vectors:
In  0.000  0.000  0.167
In  0.000  0.000  0.833
In  0.667  0.333  0.705
In  0.333  0.667  0.295
Li  0.667  0.333  0.047
Li  0.333  0.667  0.622
Li  0.000  0.000  0.500
Li  0.667  0.333  0.378
Li  0.333  0.667  0.953

2.
Below is a relaxed structure of ZrTe2Ir, with properties calculated at the GGA-PBEsol level.

## Properties
- Total energy: -6.50 eV/atom
- Formation energy from raw total energies: -0.011 eV per atom

Cell lengths 3.877, 3.877, 7.217 Å; angles 74.42, 74.42, 60.00 degrees
Sites, in units of the cell vectors:
Zr  0.500  0.500  0.500
Ir  0.000  0.000  0.000
Te  0.739  0.739  0.784
Te  0.261  0.261  0.216

3.
Below is a relaxed structure of K3RbPb, with properties calculated at the GGA-PBEsol level.

## Properties
- Total energy: -1.65 eV/atom
- ΔH_f (0 K): 32.9 meV/atom

Cell lengths 6.874, 6.874, 6.874 Å; angles 90.00, 90.00, 90.00 degrees
Sites, in units of the cell vectors:
Pb  0.000  0.000  0.000
K  0.500  0.000  0.000
K  0.000  0.000  0.500
K  0.000  0.500  0.000
Rb  0.500  0.500  0.500

4.
Below is a relaxed structure of ZnPN3, with properties calculated at the GGA-PBEsol level.

## Properties
- Total energy: -5.80 eV/atom
- Formation energy from raw total energies: 0.787 eV per atom

Cell lengths 3.490, 3.490, 3.490 Å; angles 90.00, 90.00, 90.00 degrees
Sites, in units of the cell vectors:
N  0.500  0.000  0.000
N  0.000  0.000  0.500
N  0.000  0.500  0.000
P  0.000  0.000  0.000
Zn  0.500  0.500  0.500

5.
Below is a relaxed structure of Si2HgSb2, with properties calculated at the GGA-PBEsol level.

## Properties
- Total energy: -3.90 eV/atom
- Formation energy from raw total energies: 0.331 eV per atom

Cell lengths 4.076, 4.076, 7.697 Å; angles 105.35, 105.35, 90.00 degrees
Sites, in units of the cell vectors:
Hg  0.000  0.000  0.000
Si  0.750  0.250  0.500
Si  0.250  0.750  0.500
Sb  0.381  0.381  0.761
Sb  0.619  0.619  0.239

6.
Below is a relaxed structure of SrLa2Hg, with properties calculated at the GGA-PBEsol level.

## Properties
- Total energy: -3.50 eV/atom
- ΔH_f (0 K): -228.8 meV/atom

Cell lengths 3.736, 5.655, 7.172 Å; angles 113.22, 105.10, 90.00 degrees
Sites, in units of the cell vectors:
La  0.711  0.711  0.422
La  0.289  0.289  0.578
Sr  0.500  0.000  0.000
Hg  0.000  0.500  0.000

7.
Below is a relaxed structure of HfInH, with properties calculated at the GGA-PBEsol level.

## Properties
- Total energy: -6.00 eV/atom

Cell lengths 3.322, 3.322, 4.783 Å; angles 90.00, 90.00, 120.00 degrees
Sites, in units of the cell vectors:
In  0.667  0.333  0.500
Hf  0.333  0.667  0.000
H  0.000  0.000  0.000

8.
Below is a relaxed structure of YTi2CuSn, with properties calculated at the GGA-PBEsol level.

## Properties
- Total energy: -6.23 eV/atom
- ΔH_f (0 K): 182.1 meV/atom

Cell lengths 4.643, 4.643, 5.027 Å; angles 90.00, 90.00, 90.00 degrees
Sites, in units of the cell vectors:
Cu  0.000  0.000  0.000
Sn  0.500  0.500  0.500
Ti  0.000  0.500  0.000
Ti  0.500  0.000  0.000
Y  0.000  0.000  0.500